LiY2ZrNb | Alexandria via LeMat-Bulk | PBE | optimized geometry; ΔH_f (0 K) = 0.93 eV/atom; symmetry = P4/mmm, No. 123; D(E_F) = 5.6 states/eV/f.u.; calculated density = 3.8 Mg/m³
1.0
5.7124 0.0000 0.0000
0.0000 5.7124 0.0000
0.0000 0.0000 4.8959
Li Y Zr Nb
1 2 1 1
Direct
0.0000 0.0000 0.0000
0.0000 0.5000 0.5000
0.5000 0.0000 0.5000
0.5000 0.5000 0.5000
0.5000 0.5000 0.0000

---

KLi2ZnSi | Alexandria via LeMat-Bulk | PBE | optimized geometry; calculated total energy = -2.334 eV/atom; symmetry = P4/mmm, No. 123; D(E_F) = 1.4 states/eV/f.u.; calculated density = 2.0 Mg/m³
1.0
5.0593 0.0000 0.0000
0.0000 5.0593 0.0000
0.0000 0.0000 4.8320
K Li Zn Si
1 2 1 1
Direct
0.0000 0.0000 0.0000
0.0000 0.5000 0.5000
0.5000 0.0000 0.5000
0.5000 0.5000 0.0000
0.5000 0.5000 0.5000

---

PrNp2S4 | Alexandria via LeMat-Bulk | PBE | optimized geometry; calculated total energy = -8.326 eV/atom; symmetry = Cmcm, No. 63; D(E_F) = 17.1 states/eV/f.u.; calculated density = 7.4 Mg/m³
1.0
1.9591 -6.5103 0.0000
1.9591 6.5103 0.0000
0.0000 0.0000 13.1437
Pr Np S
2 4 8
Direct
0.1191 0.8809 0.7500
0.8809 0.1191 0.2500
0.3676 0.6324 0.5650
0.3676 0.6324 0.9350
0.6324 0.3676 0.0650
0.6324 0.3676 0.4350
0.0000 0.0000 0.0000
0.0000 0.0000 0.5000
0.2708 0.7292 0.1220
0.2708 0.7292 0.3780
0.4595 0.5405 0.7500
0.5405 0.4595 0.2500
0.7292 0.2708 0.6220
0.7292 0.2708 0.8780

---

CaCeNi | Alexandria via LeMat-Bulk | PBE | optimized geometry; ΔH_f (0 K) = -0.07 eV/atom; symmetry = I4mm, No. 107; D(E_F) = 6.5 states/eV/f.u.; calculated density = 5.1 Mg/m³
1.0
-1.7159 1.7159 6.5506
1.7159 -1.7159 6.5506
1.7159 1.7159 -6.5506
Ca Ce Ni
1 1 1
Direct
0.0000 0.0000 0.0000
0.2561 0.2561 0.0000
0.6468 0.6468 0.0000